Entry from Alexandria via LeMat-Bulk: a relaxed PrDyNi crystal (PBE-GGA).

Unit cell a=3.481 b=7.063 c=6.624 alpha=100.68 beta=105.26 gamma=90.15
Fractional coordinates of all 6 atoms:
Pr 0.316 0.482 0.394
Pr 0.563 0.622 0.895
Dy 0.571 0.129 0.908
Dy 0.306 0.975 0.381
Ni 0.926 0.249 0.617
Ni 0.952 0.855 0.672

- VASP energy (eV/atom) = -5.23
- relative energy among the computed polymorphs (eV per formula unit) = 0.17
- energy relative to the elements (eV per atom) = -0.1792
- magnetic moment (μB/f.u.) = 0.00
- D(E_F) (states/eV/atom) = 1.072
- SG = No. 2

=====

Entry from Alexandria via LeMat-Bulk: a relaxed Pr2DyNi6 crystal (PBE-GGA).

Unit cell a=3.954 b=6.954 c=6.954 alpha=120.00 beta=90.00 gamma=90.00
Site moments in Bohr magnetons follow the coordinates.
Fractional coordinates of all 9 atoms:
Pr 0.000 0.333 0.667  -0.01
Pr 0.000 0.667 0.333  -0.01
Dy 0.000 0.000 0.000  -0.01
Ni 0.500 0.331 0.331  0.13
Ni 0.500 0.669 0.669  0.13
Ni 0.500 0.000 0.669  0.13
Ni 0.500 0.669 0.000  0.13
Ni 0.500 0.331 0.000  0.13
Ni 0.500 0.000 0.331  0.13

- VASP energy (eV/atom) = -5.75
- energy relative to the elements (eV per atom) = -0.3220
- magnetic moment (μB/f.u.) = 0.70
- D(E_F) (states/eV/atom) = 1.091
- SG = No. 191

=====

Entry from Alexandria via LeMat-Bulk: a relaxed PrDyNi crystal (PBE-GGA).

Unit cell a=3.924 b=3.924 c=6.364 alpha=90.00 beta=90.00 gamma=120.00
Fractional coordinates of all 3 atoms:
Pr 0.000 0.000 0.081
Ni 0.667 0.333 0.343
Dy 0.333 0.667 0.576

- VASP energy (eV/atom) = -5.17
- relative energy among the computed polymorphs (eV per formula unit) = 0.37
- energy relative to the elements (eV per atom) = -0.1118
- magnetic moment (μB/f.u.) = 0.00
- D(E_F) (states/eV/atom) = 1.036
- SG = No. 156

=====

Entry from Alexandria via LeMat-Bulk: a relaxed Pr2Dy2Ni15 crystal (PBE-GGA).

Unit cell a=6.529 b=6.529 c=6.529 alpha=82.50 beta=82.50 gamma=82.50
Site moments in Bohr magnetons follow the coordinates.
Fractional coordinates of all 19 atoms:
Pr 0.358 0.358 0.358  -0.02
Pr 0.642 0.642 0.642  -0.02
Dy 0.111 0.111 0.111  -0.04
Dy 0.889 0.889 0.889  -0.04
Ni 0.500 0.000 0.000  0.12
Ni 0.000 0.000 0.500  0.12
Ni 0.000 0.500 0.000  0.12
Ni 0.000 0.695 0.305  0.17
Ni 0.695 0.305 0.000  0.17
Ni 0.305 0.000 0.695  0.17
Ni 0.305 0.695 0.000  0.17
Ni 0.695 0.000 0.305  0.17
Ni 0.000 0.305 0.695  0.17
Ni 0.165 0.653 0.653  0.15
Ni 0.653 0.653 0.165  0.15
Ni 0.653 0.165 0.653  0.15
Ni 0.835 0.347 0.347  0.15
Ni 0.347 0.347 0.835  0.15
Ni 0.347 0.835 0.347  0.15

- VASP energy (eV/atom) = -5.75
- energy relative to the elements (eV per atom) = -0.2004
- magnetic moment (μB/f.u.) = 1.99
- D(E_F) (states/eV/atom) = 1.389
- SG = No. 166

=====

Entry from Alexandria via LeMat-Bulk: a relaxed PrDy2Ni9 crystal (PBE-GGA).

Unit cell a=5.009 b=5.009 c=8.622 alpha=73.11 beta=73.11 gamma=60.00
Site moments in Bohr magnetons follow the coordinates.
Fractional coordinates of all 12 atoms:
Pr 0.000 0.000 0.000  -0.01
Dy 0.860 0.860 0.420  -0.02
Dy 0.140 0.140 0.580  -0.02
Ni 0.667 0.667 0.999  0.09
Ni 0.333 0.333 0.001  0.09
Ni 0.500 0.500 0.500  0.05
Ni 0.416 0.416 0.250  0.07
Ni 0.918 0.416 0.250  0.07
Ni 0.416 0.918 0.250  0.07
Ni 0.584 0.584 0.750  0.07
Ni 0.584 0.082 0.750  0.07
Ni 0.082 0.584 0.750  0.07

- VASP energy (eV/atom) = -5.88
- energy relative to the elements (eV per atom) = -0.3796
- magnetic moment (μB/f.u.) = 0.54
- D(E_F) (states/eV/atom) = 1.317
- SG = No. 166

=====

Entry from Alexandria via LeMat-Bulk: a relaxed PrDyNi crystal (PBE-GGA).

Unit cell a=3.754 b=7.045 c=6.384 alpha=103.95 beta=107.07 gamma=74.59
Fractional coordinates of all 6 atoms:
Pr 0.076 0.527 0.074
Pr 0.740 0.688 0.564
Dy 0.491 0.222 0.601
Dy 0.324 0.993 0.037
Ni 0.786 0.273 0.241
Ni 0.030 0.941 0.396

- VASP energy (eV/atom) = -5.29
- relative energy among the computed polymorphs (eV per formula unit) = 0.00
- energy relative to the elements (eV per atom) = -0.2364
- magnetic moment (μB/f.u.) = 0.00
- D(E_F) (states/eV/atom) = 1.082
- SG = No. 12

=====

Entry from Alexandria via LeMat-Bulk: a relaxed Pr3DyNi8 crystal (PBE-GGA).

Unit cell a=5.163 b=5.163 c=8.965 alpha=73.26 beta=73.26 gamma=60.00
Fractional coordinates of all 12 atoms:
Pr 0.375 0.375 0.874
Pr 0.999 0.999 0.002
Pr 0.501 0.501 0.498
Dy 0.875 0.875 0.376
Ni 0.936 0.436 0.192
Ni 0.442 0.937 0.684
Ni 0.436 0.436 0.192
Ni 0.937 0.937 0.684
Ni 0.188 0.188 0.436
Ni 0.687 0.687 0.938
Ni 0.436 0.936 0.192
Ni 0.937 0.442 0.684

- VASP energy (eV/atom) = -5.75
- energy relative to the elements (eV per atom) = -0.3177
- magnetic moment (μB/f.u.) = 0.00
- D(E_F) (states/eV/atom) = 0.695
- SG = No. 160

=====

Entry from Alexandria via LeMat-Bulk: a relaxed PrDy12Ni6 crystal (PBE-GGA).

Unit cell a=8.531 b=8.531 c=8.531 alpha=109.47 beta=109.47 gamma=109.47
Fractional coordinates of all 19 atoms:
Pr 0.000 0.000 0.000
Dy 0.312 0.127 0.816
Dy 0.312 0.496 0.184
Dy 0.688 0.504 0.816
Dy 0.688 0.873 0.184
Dy 0.127 0.816 0.312
Dy 0.496 0.184 0.312
Dy 0.504 0.816 0.688
Dy 0.873 0.184 0.688
Dy 0.816 0.312 0.127
Dy 0.184 0.312 0.496
Dy 0.816 0.688 0.504
Dy 0.184 0.688 0.873
Ni 0.376 0.500 0.876
Ni 0.624 0.500 0.124
Ni 0.500 0.876 0.376
Ni 0.500 0.124 0.624
Ni 0.876 0.376 0.500
Ni 0.124 0.624 0.500

- VASP energy (eV/atom) = -5.22
- energy relative to the elements (eV per atom) = -0.2411
- magnetic moment (μB/f.u.) = 0.00
- D(E_F) (states/eV/atom) = 1.228
- SG = No. 204